SiP2Au | Alexandria | PBE-GGA | relaxed; SG = Pmmm, No. 47; uncorrected energy = -4.35 eV/atom; crystal system = orthorhombic
1.0
2.686 0.000 0.000
0.000 3.375 0.000
0.000 0.000 7.096
Si P Au
1 2 1
Direct
0.000 0.000 0.000 Si
0.500 0.500 0.223 P
0.500 0.500 0.777 P
0.000 0.000 0.500 Au